(1)
Below is crystalline H2RuS2 at its relaxed geometry, with properties calculated at the PBE-GGA level.

Computed properties:
Fermi-level density of states: 5.9 states/eV/cell
Theoretical density: 4.86 g/cm³
Symmetry: No. 127

```
H2RuS2
1.0
6.242 0.000 0.000
0.000 6.242 0.000
0.000 0.000 2.933
H Ru S
4 2 4
Direct
0.200 0.300 0.000 H
0.300 0.800 0.000 H
0.700 0.200 0.000 H
0.800 0.700 0.000 H
0.000 0.000 0.000 Ru
0.500 0.500 0.000 Ru
0.211 0.711 0.500 S
0.289 0.211 0.500 S
0.711 0.789 0.500 S
0.789 0.289 0.500 S
```

(2)
Below is crystalline H2RuS2 at its relaxed geometry, with properties calculated at the PBE-GGA level.

Computed properties:
Fermi-level density of states: 0.4 states/eV/cell
Theoretical density: 5.16 g/cm³
Symmetry: No. 139

```
H2RuS2
1.0
-2.157 2.157 2.893
2.157 -2.157 2.893
2.157 2.157 -2.893
H Ru S
2 1 2
Direct
0.203 0.203 0.000 H
0.797 0.797 0.000 H
0.500 0.500 0.000 Ru
0.250 0.750 0.500 S
0.750 0.250 0.500 S
```

(3)
Below is crystalline HRu2S at its relaxed geometry, with properties calculated at the PBE-GGA level.

Computed properties:
Fermi-level density of states: 5.5 states/eV/cell
Theoretical density: 7.87 g/cm³
Symmetry: No. 122

```
HRu2S
1.0
-2.366 2.366 4.430
2.366 -2.366 4.430
2.366 2.366 -4.430
H Ru S
2 4 2
Direct
0.000 0.000 0.000 H
0.750 0.250 0.500 H
0.049 0.625 0.924 Ru
0.375 0.299 0.424 Ru
0.701 0.125 0.076 Ru
0.875 0.951 0.576 Ru
0.250 0.750 0.500 S
0.500 0.500 0.000 S
```

(4)
Below is crystalline H2RuS at its relaxed geometry, with properties calculated at the PBE-GGA level.

Computed properties:
Fermi-level density of states: 0.0 states/eV/cell
Theoretical density: 4.45 g/cm³
Symmetry: No. 3

```
H2RuS
1.0
2.880 0.000 0.000
0.000 6.057 0.000
-0.001 0.000 2.892
H Ru S
2 1 1
Direct
0.144 0.000 0.495 H
0.856 0.000 0.505 H
0.000 0.301 0.500 Ru
0.500 0.500 0.000 S
```

(5)
Below is crystalline H2RuS at its relaxed geometry, with properties calculated at the PBE-GGA level.

Computed properties:
Fermi-level density of states: 0.7 states/eV/cell
Theoretical density: 5.50 g/cm³
Symmetry: No. 1

```
H2RuS
1.0
3.025 0.000 0.000
0.178 3.562 0.000
0.500 0.295 3.785
H Ru S
2 1 1
Direct
0.000 0.000 0.000 H
0.498 0.015 0.517 H
0.488 0.518 0.517 Ru
0.065 0.621 0.070 S
```

(6)
Below is crystalline H2RuS at its relaxed geometry, with properties calculated at the PBE-GGA level.

Computed properties:
Fermi-level density of states: 1.2 states/eV/cell
Theoretical density: 5.67 g/cm³
Symmetry: No. 25

```
H2RuS
1.0
3.025 0.000 0.000
0.000 3.656 0.000
0.000 0.000 3.579
H Ru S
2 1 1
Direct
0.000 0.000 0.000 H
0.500 0.500 0.004 H
0.500 0.500 0.513 Ru
0.000 0.000 0.622 S
```

(7)
Below is crystalline HRu2S at its relaxed geometry, with properties calculated at the PBE-GGA level.

Computed properties:
Fermi-level density of states: 2.8 states/eV/cell
Theoretical density: 8.93 g/cm³
Symmetry: No. 225

```
HRu2S
1.0
0.000 2.797 2.797
2.797 0.000 2.797
2.797 2.797 0.000
H Ru S
1 2 1
Direct
0.000 0.000 0.000 H
0.250 0.250 0.250 Ru
0.750 0.750 0.750 Ru
0.500 0.500 0.500 S
```

(8)
Below is crystalline H2RuS at its relaxed geometry, with properties calculated at the PBE-GGA level.

Computed properties:
Fermi-level density of states: 1.3 states/eV/cell
Theoretical density: 5.58 g/cm³
Symmetry: No. 6

```
H2RuS
1.0
3.380 0.000 0.000
0.000 2.996 0.000
-1.664 0.000 3.972
H Ru S
2 1 1
Direct
0.000 0.000 0.000 H
0.477 0.000 0.003 H
0.698 0.500 0.919 Ru
0.996 0.500 0.510 S
```

| no. | relative energy among the computed polymorphs (eV/f.u.) | uncorrected energy (eV/atom) |
| --- | --- | --- |
| 1 | 1.04 | -4.257 |
| 2 | 0.00 | -4.465 |
| 3 | 0.00 | -6.398 |
| 4 | 0.23 | -4.997 |
| 5 | 0.64 | -4.895 |
| 6 | 0.63 | -4.899 |
| 7 | 0.85 | -6.185 |
| 8 | 0.76 | -4.865 |